Record 1
Entry from the Alexandria database: a relaxed La3Zn2Ga9 crystal (PBE).

```
data_La3Zn2Ga9
_chemical_formula_sum 'La6 Zn4 Ga18'
_space_group_name_H-M_alt 'I m m m'
_space_group_IT_number 71
_space_group_name_Hall '-I 2 2'
_cell_length_a 4.3546
_cell_length_b 10.1466
_cell_length_c 13.0661
_cell_angle_alpha 90.00
_cell_angle_beta 90.00
_cell_angle_gamma 90.00
loop_
_atom_site_label
_atom_site_fract_x
_atom_site_fract_y
_atom_site_fract_z
La1 0.0000 0.0000 0.0000
La2 0.0000 0.0000 0.3198
Zn1 0.0000 0.2210 0.5000
Ga1 0.0000 0.2731 0.1413
Ga2 0.0000 0.3709 0.3361
Ga3 0.0000 0.5000 0.0000
```

Properties
Total magnetic moment: 0.000 μB per cell
Energy of formation from the pure elements: -0.5188 eV per atom


Record 2
Entry from the Alexandria database: a relaxed LaZnGa crystal (PBE).

```
data_LaZnGa
_chemical_formula_sum 'La4 Zn4 Ga4'
_space_group_name_H-M_alt 'C 1 m 1'
_space_group_IT_number 8
_space_group_name_Hall 'C -2y'
_cell_length_a 11.0097
_cell_length_b 4.2635
_cell_length_c 5.8869
_cell_angle_alpha 90.00
_cell_angle_beta 90.17
_cell_angle_gamma 90.00
loop_
_atom_site_label
_atom_site_fract_x
_atom_site_fract_y
_atom_site_fract_z
La1 0.0000 0.0000 0.0000
La2 0.1067 0.5000 0.5201
Zn1 0.3039 0.0000 0.2588
Zn2 0.3941 0.5000 0.4937
Ga1 0.2117 0.5000 0.0225
Ga2 0.3052 0.0000 0.7637
```

Properties
Total magnetic moment: 0.000 μB per cell
Energy of formation from the pure elements: -0.4427 eV per atom


Record 3
Entry from the Alexandria database: a relaxed LaZnGa crystal (PBE).

```
data_LaZnGa
_chemical_formula_sum 'La4 Zn4 Ga4'
_space_group_name_H-M_alt 'F -4 3 m'
_space_group_IT_number 216
_space_group_name_Hall 'F -4 2 3'
_cell_length_a 6.6833
_cell_length_b 6.6833
_cell_length_c 6.6833
_cell_angle_alpha 90.00
_cell_angle_beta 90.00
_cell_angle_gamma 90.00
loop_
_atom_site_label
_atom_site_fract_x
_atom_site_fract_y
_atom_site_fract_z
La1 0.0000 0.0000 0.0000
Zn1 0.2500 0.2500 0.7500
Ga1 0.0000 0.0000 0.5000
```

Properties
Total magnetic moment: 0.000 μB per cell
Energy of formation from the pure elements: -0.4194 eV per atom


Record 4
Entry from the Alexandria database: a relaxed La2Zn2Ga crystal (PBE).

```
data_La2Zn2Ga
_chemical_formula_sum 'La8 Zn8 Ga4'
_space_group_name_H-M_alt 'C 1 2/m 1'
_space_group_IT_number 12
_space_group_name_Hall '-C 2y'
_cell_length_a 10.8788
_cell_length_b 4.6298
_cell_length_c 11.0961
_cell_angle_alpha 90.00
_cell_angle_beta 117.86
_cell_angle_gamma 90.00
loop_
_atom_site_label
_atom_site_fract_x
_atom_site_fract_y
_atom_site_fract_z
La1 0.0279 0.0000 0.3411
La2 0.2012 0.0000 0.1077
Zn1 0.0045 0.5000 0.8852
Zn2 0.1400 0.5000 0.5570
Ga1 0.2285 0.5000 0.3432
```

Properties
Total magnetic moment: 0.000 μB per cell
Energy of formation from the pure elements: -0.4303 eV per atom


Record 5
Entry from the Alexandria database: a relaxed La4ZnGa2 crystal (PBE).

```
data_La4ZnGa2
_chemical_formula_sum 'La12 Zn3 Ga6'
_space_group_name_H-M_alt 'R -3 m'
_space_group_IT_number 166
_space_group_name_Hall '-R 3 2"'
_cell_length_a 5.2817
_cell_length_b 5.2817
_cell_length_c 25.4837
_cell_angle_alpha 90.00
_cell_angle_beta 90.00
_cell_angle_gamma 120.00
loop_
_atom_site_label
_atom_site_fract_x
_atom_site_fract_y
_atom_site_fract_z
La1 0.0000 0.0000 0.1208
La2 0.0000 0.0000 0.3721
Zn1 0.0000 0.0000 0.5000
Ga1 0.0000 0.0000 0.2477
```

Properties
Total magnetic moment: 0.000 μB per cell
Energy of formation from the pure elements: -0.3942 eV per atom


Record 6
Entry from the Alexandria database: a relaxed LaZrZnGa crystal (PBE).

```
data_LaZrZnGa
_chemical_formula_sum 'La4 Zr4 Zn4 Ga4'
_space_group_name_H-M_alt 'F -4 3 m'
_space_group_IT_number 216
_space_group_name_Hall 'F -4 2 3'
_cell_length_a 7.1263
_cell_length_b 7.1263
_cell_length_c 7.1263
_cell_angle_alpha 90.00
_cell_angle_beta 90.00
_cell_angle_gamma 90.00
loop_
_atom_site_label
_atom_site_fract_x
_atom_site_fract_y
_atom_site_fract_z
La1 0.0000 0.0000 0.0000
Zr1 0.0000 0.0000 0.5000
Zn1 0.2500 0.2500 0.7500
Ga1 0.2500 0.2500 0.2500
```

Properties
Total magnetic moment: 0.000 μB per cell
Energy of formation from the pure elements: -0.3031 eV per atom